Entry 1:
This record from OQMD describes a relaxed PrBIr crystal. The functional is PBE-GGA.

Cell: 6.053 6.053 6.053 Å, 90.00 90.00 90.00°
Space group F-43m (No. 216)
One atom of each set of equivalent atoms:
Pr1 0.000 0.000 0.000 x4
B1 0.250 0.250 0.750 x4
Ir1 0.000 0.000 0.500 x4

Output
**Crystal system**: cubic

=====

Entry 2:
This record from OQMD describes a relaxed PrB4Ir4 crystal. The functional is PBE-GGA.

Cell: 7.712 7.712 3.988 Å, 90.00 90.00 90.00°
Space group P4_2/n (No. 86, origin choice 2)
One atom of each set of equivalent atoms:
Pr1 0.250 0.250 0.250 x2
B1 0.029 0.592 0.142 x8
Ir1 0.091 0.859 0.141 x8

Output
**Crystal system**: tetragonal

=====

Entry 3:
This record from OQMD describes a relaxed PrB4Ir crystal. The functional is PBE-GGA.

Cell: 3.2945 3.2945 6.9980 Å, 90.00 90.00 120.00°
Space group P6/mmm (No. 191)
One atom of each set of equivalent atoms:
Pr1 0.0000 0.0000 0.0000 x1
B1 0.3333 0.6667 0.2966 x4
Ir1 0.0000 0.0000 0.5000 x1

Output
**Crystal system**: hexagonal

=====

Entry 4:
This record from OQMD describes a relaxed PrB4Ir crystal. The functional is PBE-GGA.

Cell: 3.137 5.365 8.050 Å, 90.00 90.00 90.00°
Space group Immm (No. 71)
One atom of each set of equivalent atoms:
Pr1 0.000 0.000 0.000 x2
B1 0.000 0.333 0.250 x8
Ir1 0.000 0.000 0.500 x2

Output
**Crystal system**: orthorhombic

=====

Entry 5:
This record from OQMD describes a relaxed PrBIr crystal. The functional is PBE-GGA.

Cell: 6.472 6.472 6.472 Å, 90.00 90.00 90.00°
Space group F-43m (No. 216)
One atom of each set of equivalent atoms:
Pr1 0.000 0.000 0.000 x4
B1 0.250 0.250 0.750 x4
Ir1 0.250 0.250 0.250 x4

Output
**Crystal system**: cubic

=====

Entry 6:
This record from OQMD describes a relaxed PrBIr crystal. The functional is PBE-GGA.

Cell: 6.292 6.292 6.292 Å, 90.00 90.00 90.00°
Space group F-43m (No. 216)
One atom of each set of equivalent atoms:
Pr1 0.000 0.000 0.000 x4
B1 0.000 0.000 0.500 x4
Ir1 0.250 0.250 0.750 x4

Output
**Crystal system**: cubic

=====

These records have raw total energy values of -6.55 -7.99 -6.76 -6.63 -5.59 -6.19 eV/atom, in the order they appear.